RbSc2TiPt PBE-GGA optimized geometry; crystal system = tetragonal; VASP energy = -0.3224 Ry per atom; energy of formation from the pure elements = 5.63 eV per formula unit; space group = P4/mmm (123); V = 128.8 Å³/f.u.
1.0
4.9218 0.0000 0.0000
0.0000 5.3182 0.0000
0.0000 0.0000 4.9218
Sc Rb Pt Ti
2 1 1 1
Cartesian
0.0000 0.0000 2.4609
2.4609 0.0000 0.0000
0.0000 2.6591 0.0000
2.4609 2.6591 2.4609
0.0000 0.0000 0.0000